(1)
Density functional theory data (PBE-GGA) for a relaxed structure of Sc2Ni2Sb.

The structure in POSCAR format:
```
Sc2Ni2Sb
1.0
6.9476 0.0000 0.0000
0.0000 6.9476 0.0000
0.0000 0.0000 3.5754
Sc Ni Sb
4 4 2
direct
0.1693 0.3307 0.0000
0.3307 0.8307 0.0000
0.6693 0.1693 0.0000
0.8307 0.6693 0.0000
0.1247 0.6247 0.5000
0.3753 0.1247 0.5000
0.6247 0.8753 0.5000
0.8753 0.3753 0.5000
0.0000 0.0000 0.5000
0.5000 0.5000 0.5000
```

Summary:
- Uncorrected formation energy: -14.425 kcal/mol of atoms
- E_tot: -63.0 eV per cell
- V: 173 Å³/cell

=====

(2)
Density functional theory data (PBE-GGA) for a relaxed structure of ScNi2Sb.

The structure in POSCAR format:
```
ScNi2Sb
1.0
-2.0681 2.0681 8.4745
2.0681 -2.0681 8.4745
2.0681 2.0681 -8.4745
Sc Ni Sb
2 4 2
direct
0.0000 0.0000 0.0000
0.7500 0.2500 0.5000
0.1562 0.6250 0.0312
0.3750 0.4062 0.5312
0.5938 0.1250 0.9688
0.8750 0.8438 0.4688
0.2500 0.7500 0.5000
0.5000 0.5000 0.0000
```

Summary:
- Uncorrected formation energy: -2.705 kcal/mol of atoms
- E_tot: -45.0 eV per cell
- V: 145 Å³/cell

=====

(3)
Density functional theory data (PBE-GGA) for a relaxed structure of ScNi2Sb.

The structure in POSCAR format:
```
ScNi2Sb
1.0
3.3256 0.0000 0.0000
0.0000 3.3485 0.0000
0.0000 0.0000 5.8455
Sc Ni Sb
1 2 1
direct
0.0000 0.0000 0.0000
0.5000 0.5000 0.2361
0.5000 0.5000 0.7639
0.0000 0.0000 0.5000
```

Summary:
- Uncorrected formation energy: -8.039 kcal/mol of atoms
- E_tot: -23.4 eV per cell
- V: 65 Å³/cell

=====

(4)
Density functional theory data (PBE-GGA) for a relaxed structure of Sc2NiSb.

The structure in POSCAR format:
```
Sc2NiSb
1.0
3.8905 0.0000 0.0000
0.0000 3.8905 0.0000
0.0000 0.0000 5.8161
Sc Ni Sb
2 1 1
direct
0.0000 0.0000 0.0000
0.5000 0.5000 0.3441
0.0000 0.0000 0.4284
0.5000 0.5000 0.8370
```

Summary:
- Uncorrected formation energy: -8.598 kcal/mol of atoms
- E_tot: -24.1 eV per cell
- V: 88 Å³/cell

=====

(5)
Density functional theory data (PBE-GGA) for a relaxed structure of Sc2NiSb.

The structure in POSCAR format:
```
Sc2NiSb
1.0
-3.6996 3.6996 3.0310
3.6996 -3.6996 3.0310
3.6996 3.6996 -3.0310
Sc Ni Sb
4 2 2
direct
0.0738 0.6250 0.9488
0.3750 0.3238 0.4488
0.6762 0.1250 0.0512
0.8750 0.9262 0.5512
0.0000 0.0000 0.0000
0.7500 0.2500 0.5000
0.2500 0.7500 0.5000
0.5000 0.5000 0.0000
```

Summary:
- Uncorrected formation energy: -7.968 kcal/mol of atoms
- E_tot: -47.9 eV per cell
- V: 166 Å³/cell

=====

(6)
Density functional theory data (PBE-GGA) for a relaxed structure of ScNiSb2.

The structure in POSCAR format:
```
ScNiSb2
1.0
3.2622 0.0000 0.0000
0.0000 4.0904 0.0000
-0.0105 0.0000 6.3409
Sc Ni Sb
1 1 2
direct
0.0000 0.0000 0.0000
0.5000 0.0000 0.5000
0.5000 0.5000 0.2580
0.5000 0.5000 0.7420
```

Summary:
- Uncorrected formation energy: -7.127 kcal/mol of atoms
- E_tot: -21.6 eV per cell
- V: 85 Å³/cell

=====

(7)
Density functional theory data (PBE-GGA) for a relaxed structure of Sr2ScNiSb.

The structure in POSCAR format:
```
Sr2ScNiSb
1.0
6.1784 0.0000 0.0000
0.0000 6.1784 0.0000
0.0000 0.0000 5.3629
Sr Sc Ni Sb
2 1 1 1
direct
0.0000 0.5000 0.0000
0.5000 0.0000 0.0000
0.0000 0.0000 0.5000
0.5000 0.5000 0.5000
0.0000 0.0000 0.0000
```

Summary:
- Uncorrected formation energy: 8.372 kcal/mol of atoms
- E_tot: -17.8 eV per cell
- V: 205 Å³/cell

=====

(8)
Density functional theory data (PBE-GGA) for a relaxed structure of Ni2SbSe.

The structure in POSCAR format:
```
Ni2SbSe
1.0
-1.6131 1.7683 5.8871
1.6131 -1.7683 5.8871
1.6131 1.7683 -5.8871
Ni Sb Se
2 1 1
direct
0.0000 0.0000 0.0000
0.8074 0.3074 0.5000
0.1946 0.6946 0.5000
0.4542 0.4542 0.0000
```

Summary:
- Uncorrected formation energy: -0.229 kcal/mol of atoms
- E_tot: -19.2 eV per cell
- V: 67 Å³/cell

=====

(9)
Density functional theory data (PBE-GGA) for a relaxed structure of NiSbSe.

The structure in POSCAR format:
```
NiSbSe
1.0
-1.5447 1.6905 5.8407
1.5447 -1.6905 5.8407
1.5447 1.6905 -5.8407
Ni Sb Se
1 1 1
direct
0.0000 0.0000 0.0000
0.3640 0.3640 0.0000
0.6059 0.6059 0.0000
```

Summary:
- Uncorrected formation energy: 1.485 kcal/mol of atoms
- E_tot: -13.2 eV per cell
- V: 61 Å³/cell

=====

(10)
Density functional theory data (PBE-GGA) for a relaxed structure of NiSb2Se.

The structure in POSCAR format:
```
NiSb2Se
1.0
3.4017 0.0000 0.0000
0.0000 4.6690 0.0000
0.0000 0.0000 5.4218
Ni Sb Se
1 2 1
direct
0.0000 0.0000 0.0000
0.0000 0.5000 0.5000
0.5000 0.5000 0.0000
0.5000 0.0000 0.5000
```

Summary:
- Uncorrected formation energy: 8.887 kcal/mol of atoms
- E_tot: -16.0 eV per cell
- V: 86 Å³/cell

=====

(11)
Density functional theory data (PBE-GGA) for a relaxed structure of NiSb2Se.

The structure in POSCAR format:
```
NiSb2Se
1.0
3.1300 0.0000 0.0000
0.0000 3.1300 0.0000
0.0000 0.0000 9.0951
Ni Sb Se
1 2 1
direct
0.0000 0.0000 0.0000
0.0000 0.0000 0.5349
0.5000 0.5000 0.2272
0.5000 0.5000 0.8818
```

Summary:
- Uncorrected formation energy: 3.081 kcal/mol of atoms
- E_tot: -17.0 eV per cell
- V: 89 Å³/cell

=====

(12)
Density functional theory data (PBE-GGA) for a relaxed structure of NiSb2Se.

The structure in POSCAR format:
```
NiSb2Se
1.0
3.8661 -3.8645 0.0000
3.8661 3.8645 0.0000
-0.0071 0.0000 3.1101
Ni Sb Se
1 2 1
direct
0.0000 0.0000 0.0000
0.0000 0.5000 0.0000
0.5000 0.0000 0.0000
0.5000 0.5000 0.0000
```

Summary:
- Uncorrected formation energy: 4.747 kcal/mol of atoms
- E_tot: -16.7 eV per cell
- V: 93 Å³/cell

=====

Q: Which formula does entry 4 have?
A: Sc2NiSb